Computed, not measured: CuNiN2O after structural relaxation at the PBE with a Hubbard U level of DFT.

Computed properties:
Calculated total energy ... -4.21 eV per atom
Size of the total moment ... 0.7098 μB per atom

```
CuNiN2O
1.0
3.6783 0.0000 0.0000
0.0000 3.6783 0.0000
0.0000 0.0000 3.8241
Ni O Cu N
1 1 1 2
Cartesian
0.0000 0.0000 0.0000
0.0000 0.0000 1.9121
1.8392 1.8392 1.9121
0.0000 1.8392 0.0000
1.8392 0.0000 0.0000
```